MnRe2W: relaxed, PBE-GGA.

Structure (POSCAR):
```
MnRe2W
1.0
1.386 0.800 8.994
-1.386 0.800 8.994
0.000 -1.601 8.994
Mn Re W
1 2 1
Direct
0.000 0.000 0.000 Mn
0.496 0.496 0.496 Re
0.748 0.748 0.748 Re
0.250 0.250 0.250 W
```

Computed properties:
- V: 15.0 A^3/atom
- Energy: -11.536 eV per atom
- Formation enthalpy at 0 K: 0.219 eV/atom